{
  "formula": "NiMoI2O",
  "functional": "PBE+U",
  "state": "optimized geometry",
  "density_g_cm3": 6.3,
  "polymorph_energy_mev_per_atom": 733,
  "lattice_angstrom": [[5.6028, 0.0000, 0.0000], [0.0000, 5.6028, 0.0000], [0.0000, 0.0000, 3.5645]],
  "species": ["Ni", "Mo", "I", "I", "O"],
  "fractional_positions": [[0.0000, 0.0000, 0.0000], [0.5000, 0.5000, 0.5000], [0.0000, 0.5000, 0.0000], [0.5000, 0.0000, 0.0000], [0.0000, 0.0000, 0.5000]]
}